VASP calculation (PBE) on a relaxed structure of Tb4Pm2Pr.

Unit cell a=4.582 b=4.582 c=22.830 alpha=90.00 beta=90.00 gamma=90.00
Space group I4/mmm (No. 139)
Asymmetric unit:
Tb 0.000 0.000 0.140 x4
Tb 0.000 0.500 0.250 x4
Pm 0.000 0.000 0.402 x4
Pr 0.000 0.000 0.000 x2

Output
volume = 34.24 A^3/atom
excess energy over the best structure of this formula in the dataset = 0.000 eV/atom
final energy = -62.1 eV for the cell shown
DOS at the Fermi energy = 1.5165 states/eV per atom
ΔH_f (0 K) = 0.25 eV per atom

VASP calculation (PBE) on a relaxed structure of Tb4Pm7Pr.

Unit cell a=6.336 b=7.311 c=9.024 alpha=90.01 beta=103.65 gamma=90.00
Space group P-1 (No. 2)
Asymmetric unit:
Tb 0.219 0.000 0.166 x2
Tb 0.279 0.753 0.834 x2
Pm 0.000 0.000 0.500 x1
Pm 0.222 0.500 0.166 x2
Pm 0.280 0.248 0.835 x2
Pm 0.500 0.247 0.499 x2
Pr 0.000 0.500 0.500 x1

Output
volume = 33.85 A^3/atom
excess energy over the best structure of this formula in the dataset = 0.000 eV/atom
final energy = -56.5 eV for the cell shown
DOS at the Fermi energy = 1.4436 states/eV per atom
ΔH_f (0 K) = 0.01 eV per atom

VASP calculation (PBE) on a relaxed structure of Tb7Pm3Pr2.

Unit cell a=6.408 b=3.561 c=17.715 alpha=90.00 beta=96.22 gamma=90.00
Space group P2/m (No. 10)
Asymmetric unit:
Tb 0.000 0.000 0.000 x1
Tb 0.226 0.500 0.165 x2
Tb 0.256 0.500 0.500 x2
Tb 0.274 0.000 0.837 x2
Pm 0.453 0.000 0.341 x2
Pm 0.500 0.500 0.000 x1
Pr 0.056 0.500 0.673 x2

Output
volume = 33.49 A^3/atom
excess energy over the best structure of this formula in the dataset = 0.000 eV/atom
final energy = -55.3 eV for the cell shown
DOS at the Fermi energy = 1.4836 states/eV per atom
ΔH_f (0 K) = 0.08 eV per atom

VASP calculation (PBE) on a relaxed structure of TbPmPr.

Unit cell a=9.822 b=14.544 c=8.741 alpha=90.00 beta=90.00 gamma=90.00
Space group Ima2 (No. 46)
Asymmetric unit:
Tb 0.021 0.192 0.000 x8
Tb 0.250 0.102 0.627 x4
Pm 0.250 0.185 0.282 x4
Pm 0.250 0.501 0.489 x4
Pm 0.250 0.690 0.798 x4
Pr 0.000 0.000 0.301 x4
Pr 0.081 0.604 0.162 x8

Output
volume = 34.68 A^3/atom
excess energy over the best structure of this formula in the dataset = 0.146 eV/atom
final energy = -164.2 eV for the cell shown
DOS at the Fermi energy = 1.3701 states/eV per atom
ΔH_f (0 K) = 0.16 eV per atom

VASP calculation (PBE) on a relaxed structure of Tb2Pm5Pr.

Unit cell a=7.274 b=14.549 c=5.131 alpha=90.00 beta=90.00 gamma=90.00
Space group Pbam (No. 55)
Asymmetric unit:
Tb 0.250 0.125 0.000 x4
Pm 0.000 0.000 0.500 x2
Pm 0.001 0.249 0.500 x4
Pm 0.249 0.874 0.000 x4
Pr 0.000 0.500 0.500 x2

Output
volume = 33.94 A^3/atom
excess energy over the best structure of this formula in the dataset = 0.000 eV/atom
final energy = -75.4 eV for the cell shown
DOS at the Fermi energy = 1.4671 states/eV per atom
ΔH_f (0 K) = 0.01 eV per atom

VASP calculation (PBE) on a relaxed structure of Tb2Pm6Pr3.

Unit cell a=4.854 b=4.854 c=33.747 alpha=90.00 beta=90.00 gamma=90.00
Space group I4/mmm (No. 139)
Asymmetric unit:
Tb 0.000 0.000 0.045 x4
Pm 0.000 0.000 0.195 x4
Pm 0.000 0.500 0.119 x8
Pr 0.000 0.000 0.297 x4
Pr 0.000 0.000 0.500 x2

Output
volume = 36.14 A^3/atom
excess energy over the best structure of this formula in the dataset = 0.250 eV/atom
final energy = -98.4 eV for the cell shown
DOS at the Fermi energy = 1.3848 states/eV per atom
ΔH_f (0 K) = 0.26 eV per atom